(1)
# Ac2PdRhAu, optimized geometry, DFT PBE
# Magnetic moment = 0.00 μB/f.u.
# Calculated formation energy = -0.70 eV/atom
data_Ac2PdRhAu
_space_group_name_H-M_alt 'P 1'
_space_group_IT_number 1
_cell_length_a 4.468
_cell_length_b 7.811
_cell_length_c 8.491
_cell_angle_alpha 114.44
_cell_angle_beta 90.00
_cell_angle_gamma 90.00
loop_
_space_group_symop_operation_xyz
'x,y,z'
loop_
_atom_site_label
_atom_site_type_symbol
_atom_site_fract_x
_atom_site_fract_y
_atom_site_fract_z
Ac1 Ac 0.750 0.811 0.630
Ac2 Ac 0.750 0.726 0.048
Ac3 Ac 0.250 0.189 0.370
Ac4 Ac 0.250 0.274 0.952
Pd1 Pd 0.250 0.515 0.733
Pd2 Pd 0.750 0.485 0.267
Rh1 Rh 0.250 0.886 0.908
Rh2 Rh 0.750 0.114 0.092
Au1 Au 0.250 0.729 0.326
Au2 Au 0.750 0.271 0.674

=====

(2)
# MnFeOs2, optimized geometry, DFT PBE
# Magnetic moment = 0.37 μB/f.u.
# Calculated formation energy = 0.15 eV/atom
data_MnFeOs2
_space_group_name_H-M_alt 'P 1'
_space_group_IT_number 1
_cell_length_a 2.656
_cell_length_b 2.656
_cell_length_c 7.308
_cell_angle_alpha 90.00
_cell_angle_beta 90.00
_cell_angle_gamma 90.00
loop_
_space_group_symop_operation_xyz
'x,y,z'
loop_
_atom_site_label
_atom_site_type_symbol
_atom_site_fract_x
_atom_site_fract_y
_atom_site_fract_z
Fe1 Fe 0.000 0.000 0.508
Mn1 Mn 0.500 0.500 0.739
Os1 Os 0.000 0.000 0.993
Os2 Os 0.500 0.500 0.260